1.
Compound: TlTc2Ag
Source: Alexandria via LeMat-Bulk
Functional: PBE-GGA
Structure: optimized geometry

a = 5.046 Å, b = 5.046 Å, c = 5.046 Å
α = 135.95°, β = 125.82°, γ = 72.30°
Atoms (fractional coordinates):
Tl: 0.000 0.000 0.000
Tc: 0.271 0.771 0.500
Tc: 0.467 0.467 0.000
Ag: 0.735 0.235 0.500

Summary:
Energy relative to the elements = 0.64 eV per atom
DOS(E_F) = 4.55 states/eV per cell
SG = Imm2 (44)
Polymorph energy (0 for the lowest one) = 119 kJ/mol of formula units

***

2.
Compound: TlTc2Ag
Source: Alexandria via LeMat-Bulk
Functional: PBE-GGA
Structure: optimized geometry

a = 5.514 Å, b = 5.514 Å, c = 5.514 Å
α = 145.74°, β = 132.30°, γ = 60.04°
Atoms (fractional coordinates):
Tl: 0.000 0.000 0.000
Tc: 0.247 0.747 0.500
Tc: 0.753 0.253 0.500
Ag: 0.500 0.500 0.000

Summary:
Energy relative to the elements = 0.74 eV per atom
DOS(E_F) = 3.80 states/eV per cell
SG = Immm (71)
Polymorph energy (0 for the lowest one) = 160 kJ/mol of formula units

***

3.
Compound: TlTc2Ag
Source: Alexandria via LeMat-Bulk
Functional: PBE-GGA
Structure: optimized geometry

a = 4.583 Å, b = 4.583 Å, c = 4.583 Å
α = 60.00°, β = 60.00°, γ = 60.00°
Atoms (fractional coordinates):
Tl: 0.000 0.000 0.000
Tc: 0.250 0.250 0.250
Tc: 0.750 0.750 0.750
Ag: 0.500 0.500 0.500

Summary:
Energy relative to the elements = 0.88 eV per atom
DOS(E_F) = 4.63 states/eV per cell
SG = Fm-3m (225)
Polymorph energy (0 for the lowest one) = 214 kJ/mol of formula units

***

4.
Compound: TlTcAg
Source: Alexandria via LeMat-Bulk
Functional: PBE-GGA
Structure: optimized geometry

a = 7.614 Å, b = 7.440 Å, c = 2.882 Å
α = 82.38°, β = 75.58°, γ = 22.04°
Atoms (fractional coordinates):
Tl: 0.000 0.000 0.000
Tc: 0.665 0.665 0.335
Ag: 0.320 0.320 0.680

Summary:
Energy relative to the elements = 0.72 eV per atom
DOS(E_F) = 2.76 states/eV per cell
SG = Fmm2 (42)
Polymorph energy (0 for the lowest one) = 11 kJ/mol of formula units

***

5.
Compound: TlTc2Ag
Source: Alexandria via LeMat-Bulk
Functional: PBE-GGA
Structure: optimized geometry

a = 2.992 Å, b = 2.992 Å, c = 8.116 Å
α = 90.00°, β = 90.12°, γ = 90.00°
Atoms (fractional coordinates):
Tl: 0.000 0.000 0.000
Tc: 0.500 0.500 0.723
Tc: 0.999 0.000 0.550
Ag: 0.496 0.500 0.290

Summary:
Energy relative to the elements = 0.33 eV per atom
DOS(E_F) = 2.21 states/eV per cell
SG = Pm (6)
Polymorph energy (0 for the lowest one) = 0 kJ/mol of formula units

***

6.
Compound: TlTc2Ag
Source: Alexandria via LeMat-Bulk
Functional: PBE-GGA
Structure: optimized geometry

a = 3.921 Å, b = 3.921 Å, c = 4.489 Å
α = 90.00°, β = 90.00°, γ = 90.00°
Atoms (fractional coordinates):
Tl: 0.000 0.000 0.000
Tc: 0.000 0.500 0.500
Tc: 0.500 0.000 0.500
Ag: 0.500 0.500 0.000

Summary:
Energy relative to the elements = 0.78 eV per atom
DOS(E_F) = 4.92 states/eV per cell
SG = P4/mmm (123)
Polymorph energy (0 for the lowest one) = 174 kJ/mol of formula units

***

7.
Compound: TlTc2Ag
Source: Alexandria via LeMat-Bulk
Functional: PBE-GGA
Structure: optimized geometry

a = 2.867 Å, b = 2.867 Å, c = 8.491 Å
α = 90.00°, β = 90.00°, γ = 90.00°
Atoms (fractional coordinates):
Tl: 0.000 0.000 0.000
Tc: 0.500 0.500 0.259
Tc: 0.500 0.500 0.741
Ag: 0.000 0.000 0.500

Summary:
Energy relative to the elements = 0.90 eV per atom
DOS(E_F) = 4.57 states/eV per cell
SG = P4/mmm (123)
Polymorph energy (0 for the lowest one) = 221 kJ/mol of formula units

***

8.
Compound: TlTc2Ag
Source: Alexandria via LeMat-Bulk
Functional: PBE-GGA
Structure: optimized geometry

a = 2.863 Å, b = 2.863 Å, c = 9.887 Å
α = 90.00°, β = 90.00°, γ = 116.25°
Atoms (fractional coordinates):
Tl: 0.000 0.000 0.000
Tc: 0.000 0.000 0.471
Tc: 0.500 0.500 0.266
Ag: 0.500 0.500 0.720

Summary:
Energy relative to the elements = 0.56 eV per atom
DOS(E_F) = 3.40 states/eV per cell
SG = Cmm2 (35)
Polymorph energy (0 for the lowest one) = 87 kJ/mol of formula units

***

9.
Compound: Tl4TcAg
Source: Alexandria via LeMat-Bulk
Functional: PBE-GGA
Structure: optimized geometry

a = 6.187 Å, b = 6.187 Å, c = 6.187 Å
α = 60.00°, β = 60.00°, γ = 60.00°
Atoms (fractional coordinates):
Tl: 0.125 0.125 0.125
Tl: 0.125 0.125 0.625
Tl: 0.125 0.625 0.125
Tl: 0.625 0.125 0.125
Tc: 0.500 0.500 0.500
Ag: 0.750 0.750 0.750

Summary:
Energy relative to the elements = 0.94 eV per atom
DOS(E_F) = 5.35 states/eV per cell
SG = F-43m (216)

***

10.
Compound: Tm4TcAg
Source: Alexandria via LeMat-Bulk
Functional: PBE-GGA
Structure: optimized geometry

a = 8.048 Å, b = 8.048 Å, c = 8.048 Å
α = 36.22°, β = 36.22°, γ = 36.22°
Atoms (fractional coordinates):
Tm: 0.120 0.120 0.120
Tm: 0.366 0.366 0.366
Tm: 0.634 0.634 0.634
Tm: 0.880 0.880 0.880
Tc: 0.000 0.000 0.000
Ag: 0.500 0.500 0.500

Summary:
Energy relative to the elements = -0.01 eV per atom
DOS(E_F) = 5.29 states/eV per cell
SG = R-3m (166)
Polymorph energy (0 for the lowest one) = 113 kJ/mol of formula units

***

11.
Compound: Tm12Tc5Ag3
Source: Alexandria via LeMat-Bulk
Functional: PBE-GGA
Structure: optimized geometry

a = 14.248 Å, b = 14.248 Å, c = 14.248 Å
α = 109.47°, β = 109.47°, γ = 109.47°
Atoms (fractional coordinates):
Tm: 0.027 0.206 0.114
Tm: 0.027 0.321 0.913
Tm: 0.087 0.614 0.408
Tm: 0.087 0.973 0.679
Tm: 0.092 0.706 0.679
Tm: 0.092 0.886 0.413
Tm: 0.114 0.027 0.206
Tm: 0.114 0.587 0.908
Tm: 0.179 0.206 0.592
Tm: 0.179 0.473 0.587
Tm: 0.206 0.114 0.027
Tm: 0.206 0.592 0.179
Tm: 0.294 0.321 0.908
Tm: 0.294 0.473 0.386
Tm: 0.321 0.908 0.294
Tm: 0.321 0.913 0.027
Tm: 0.386 0.294 0.473
Tm: 0.386 0.592 0.913
Tm: 0.408 0.087 0.614
Tm: 0.408 0.821 0.794
Tm: 0.413 0.092 0.886
Tm: 0.413 0.821 0.527
Tm: 0.473 0.386 0.294
Tm: 0.473 0.587 0.179
Tm: 0.527 0.413 0.821
Tm: 0.527 0.614 0.706
Tm: 0.587 0.179 0.473
Tm: 0.587 0.908 0.114
Tm: 0.592 0.179 0.206
Tm: 0.592 0.913 0.386
Tm: 0.614 0.408 0.087
Tm: 0.614 0.706 0.527
Tm: 0.679 0.087 0.973
Tm: 0.679 0.092 0.706
Tm: 0.706 0.527 0.614
Tm: 0.706 0.679 0.092
Tm: 0.794 0.408 0.821
Tm: 0.794 0.886 0.973
Tm: 0.821 0.527 0.413
Tm: 0.821 0.794 0.408
Tm: 0.886 0.413 0.092
Tm: 0.886 0.973 0.794
Tm: 0.908 0.114 0.587
Tm: 0.908 0.294 0.321
Tm: 0.913 0.027 0.321
Tm: 0.913 0.386 0.592
Tm: 0.973 0.679 0.087
Tm: 0.973 0.794 0.886
Tc: 0.000 0.000 0.000
Tc: 0.000 0.000 0.500
Tc: 0.000 0.500 0.000
Tc: 0.000 0.500 0.500
Tc: 0.125 0.750 0.875
Tc: 0.125 0.875 0.250
Tc: 0.250 0.125 0.875
Tc: 0.250 0.625 0.375
Tc: 0.375 0.250 0.625
Tc: 0.375 0.625 0.750
Tc: 0.500 0.000 0.000
Tc: 0.500 0.000 0.500
Tc: 0.500 0.500 0.000
Tc: 0.500 0.500 0.500
Tc: 0.625 0.375 0.250
Tc: 0.625 0.750 0.375
Tc: 0.750 0.375 0.625
Tc: 0.750 0.875 0.125
Tc: 0.875 0.125 0.750
Tc: 0.875 0.250 0.125
Ag: 0.125 0.250 0.375
Ag: 0.125 0.375 0.750
Ag: 0.250 0.375 0.125
Ag: 0.250 0.875 0.625
Ag: 0.375 0.125 0.250
Ag: 0.375 0.750 0.125
Ag: 0.625 0.250 0.875
Ag: 0.625 0.875 0.750
Ag: 0.750 0.125 0.375
Ag: 0.750 0.625 0.875
Ag: 0.875 0.625 0.250
Ag: 0.875 0.750 0.625

Summary:
Energy relative to the elements = 0.43 eV per atom
DOS(E_F) = 43.24 states/eV per cell
SG = Ia-3d (230)

***

12.
Compound: Tm4TcAg
Source: Alexandria via LeMat-Bulk
Functional: PBE-GGA
Structure: optimized geometry

a = 7.442 Å, b = 7.442 Å, c = 6.230 Å
α = 98.64°, β = 98.64°, γ = 112.29°
Atoms (fractional coordinates):
Tm: 0.070 0.724 0.958
Tm: 0.208 0.364 0.592
Tm: 0.276 0.930 0.542
Tm: 0.364 0.208 0.092
Tm: 0.636 0.792 0.908
Tm: 0.724 0.070 0.458
Tm: 0.792 0.636 0.408
Tm: 0.930 0.276 0.042
Tc: 0.001 0.999 0.750
Tc: 0.999 0.001 0.250
Ag: 0.373 0.627 0.250
Ag: 0.627 0.373 0.750

Summary:
Energy relative to the elements = -0.21 eV per atom
DOS(E_F) = 10.86 states/eV per cell
SG = C2/c (15)
Polymorph energy (0 for the lowest one) = 0 kJ/mol of formula units